Record 1
The following is a PBE calculation of a geometry-optimized Pr2DyAg4Sn4 structure, from OQMD.

spin magnetization = 0.00 μB/atom
symmetry = Immm

Unit cell a=8.9204 b=8.9204 c=8.9204 alpha=149.29 beta=131.79 gamma=58.26
Fractional positions:
Pr (0.1285, 0.1285, 0.0000)
Pr (0.8715, 0.8715, 0.0000)
Dy (0.5000, 0.0000, 0.5000)
Ag (0.1306, 0.3285, 0.8021)
Ag (0.4735, 0.6715, 0.8021)
Ag (0.5265, 0.3285, 0.1979)
Ag (0.8694, 0.6715, 0.1979)
Sn (0.2013, 0.5000, 0.7013)
Sn (0.2890, 0.7890, 0.5000)
Sn (0.7110, 0.2110, 0.5000)
Sn (0.7987, 0.5000, 0.2987)

Record 2
The following is a PBE calculation of a geometry-optimized RbLiNiW structure, from OQMD.

spin magnetization = 0.00 μB/atom
symmetry = F-43m
offset from the most stable computed form = 0.0 meV per atom

Unit cell a=4.6273 b=4.6273 c=4.6273 alpha=60.00 beta=60.00 gamma=60.00
Fractional positions:
Rb (0.0000, 0.0000, 0.0000)
Li (0.7500, 0.7500, 0.7500)
Ni (0.5000, 0.5000, 0.5000)
W (0.2500, 0.2500, 0.2500)

Record 3
The following is a PBE calculation of a geometry-optimized LuFeAgSn structure, from OQMD.

spin magnetization = 0.64 μB/atom
symmetry = F-43m
offset from the most stable computed form = 36.5 meV per atom

Unit cell a=4.8147 b=4.8147 c=4.8147 alpha=60.00 beta=60.00 gamma=60.00
Fractional positions:
Lu (0.0000, 0.0000, 0.0000)
Fe (0.5000, 0.5000, 0.5000)
Ag (0.7500, 0.7500, 0.7500)
Sn (0.2500, 0.2500, 0.2500)

Record 4
The following is a PBE calculation of a geometry-optimized LiGeAu2 structure, from OQMD.

symmetry = P6_3/mmc

Unit cell a=4.4379 b=4.4379 c=8.5682 alpha=90.00 beta=90.00 gamma=120.00
Fractional positions:
Li (0.3333, 0.6667, 0.2500)
Li (0.6667, 0.3333, 0.7500)
Ge (0.0000, 0.0000, 0.0000)
Ge (0.0000, 0.0000, 0.5000)
Au (0.3333, 0.6667, 0.5904)
Au (0.3333, 0.6667, 0.9096)
Au (0.6667, 0.3333, 0.0904)
Au (0.6667, 0.3333, 0.4096)

Number 1: DFT total energy -47.348 eV per cell. Number 2: DFT total energy -15.213 eV per cell. Number 3: DFT total energy -19.855 eV per cell. Number 4: DFT total energy -28.259 eV per cell.